1.
Compound: Mg2Fe2Pd
Source: the Alexandria database
Functional: PBE
Structure: optimized geometry

## Properties
**Electronic total energy**: -0.3623 Ry per atom
**Magnetic moment**: 4.60 μB per formula unit
**V**: 162.5 Å³/cell
**Energy of formation from the pure elements**: 0.13 eV/atom

POSCAR file:
```
Mg2Fe2Pd
1.0
-2.5267 5.3748 2.2139
-5.7733 -2.6016 -0.2730
0.4323 -1.3567 3.7872
Mg Fe Pd
4 4 2
Direct
0.6774 0.8226 0.5000
0.8226 0.3226 0.5000
0.3226 0.1774 0.5000
0.1774 0.6774 0.5000
0.6198 0.1198 0.0000
0.1198 0.3802 0.0000
0.8802 0.6198 0.0000
0.3802 0.8802 0.0000
0.5000 0.5000 0.0000
0.0000 0.0000 0.0000
```

2.
Compound: YTaCl
Source: the Alexandria database
Functional: PBE
Structure: optimized geometry

## Properties
**Electronic total energy**: -0.5003 Ry per atom
**Magnetic moment**: 0.40 μB per formula unit
**V**: 72.7 Å³/cell
**E_form (uncorrected)**: -0.086 eV/atom

POSCAR file:
```
YTaCl
1.0
7.6168 -0.0030 0.0000
6.3082 4.2688 0.0000
-6.9625 -2.1329 2.2339
Y Cl Ta
1 1 1
Direct
0.6588 0.6588 0.0000
0.0304 0.0304 0.0000
0.3108 0.3108 0.0000
```

3.
Compound: K2CaMn
Source: the Alexandria database
Functional: PBE
Structure: optimized geometry

## Properties
**Electronic total energy**: -0.1959 Ry per atom
**Magnetic moment**: 4.30 μB per formula unit
**V**: 166.1 Å³/cell
**Energy of formation from the pure elements**: 0.68 eV/atom

POSCAR file:
```
K2CaMn
1.0
6.7034 0.0000 0.0000
0.0000 3.8830 -0.0322
0.0000 0.7332 6.3752
K Mn Ca
2 1 1
Direct
0.0000 0.4716 0.4848
0.0000 0.0284 0.0152
0.5000 0.2500 0.2500
0.5000 0.7500 0.7500
```

4.
Compound: Dy3Y4Au4
Source: the Alexandria database
Functional: PBE
Structure: optimized geometry

## Properties
**Electronic total energy**: -0.3926 Ry per atom
**Magnetic moment**: 0.00 μB per formula unit
**V**: 293.1 Å³/cell
**Energy of formation from the pure elements**: -0.54 eV/atom

POSCAR file:
```
Dy3Y4Au4
1.0
-0.7092 0.4251 -4.7909
-3.3848 -6.8668 -0.1082
-4.9213 6.6346 3.7840
Au Dy Y
4 3 4
Direct
0.5000 0.8126 0.0000
0.7985 0.2985 0.5971
0.5000 0.1874 0.0000
0.2015 0.7015 0.4029
0.8987 0.8987 0.7973
0.1013 0.1013 0.2027
0.0000 0.5000 0.0000
0.6729 0.4556 0.3457
0.3271 0.1099 0.6543
0.6729 0.8901 0.3457
0.3271 0.5444 0.6543
```